Sc2Tl at its PBEsol-relaxed geometry. Source: Alexandria via LeMat-Bulk, functional meta-GGA SCAN.

* energy relative to the elements: -0.392 eV/atom
* SG: Cmcm

Cell: 7.857 7.857 4.801 Å, 90.00 90.00 152.88°
Fractional positions:
Sc (0.082, 0.918, 0.750)
Sc (0.241, 0.759, 0.250)
Sc (0.759, 0.241, 0.750)
Sc (0.918, 0.082, 0.250)
Tl (0.410, 0.590, 0.750)
Tl (0.590, 0.410, 0.250)



ScTl5 at its PBEsol-relaxed geometry. Source: Alexandria via LeMat-Bulk, functional meta-GGA SCAN.

* energy relative to the elements: -0.060 eV/atom
* SG: Cm

Cell: 6.225 6.225 8.146 Å, 109.94 109.94 31.90°
Fractional positions:
Sc (0.000, 0.000, 0.000)
Tl (0.297, 0.297, 0.045)
Tl (0.301, 0.301, 0.642)
Tl (0.589, 0.589, 0.754)
Tl (0.682, 0.682, 0.285)
Tl (0.978, 0.978, 0.398)



| no. | total energy (eV per cell) |
| --- | --- |
| 1 | -204.02 |
| 2 | -376.39 |